An optimized crystal structure of Ir2PtCl, computed with PBE.

a = 8.6536 Å, b = 8.6536 Å, c = 8.6536 Å
α = 19.20°, β = 19.20°, γ = 19.20°
Fractional positions:
Ir (0.2491, 0.2491, 0.2491)
Ir (0.7509, 0.7509, 0.7509)
Pt (0.0000, 0.0000, 0.0000)
Cl (0.5000, 0.5000, 0.5000)

Values from the calculation:
Formation energy from raw total energies   547 meV per atom
Energy above the most stable polymorph in this dataset   204 meV per atom
Fermi-level density of states   1.2178 states/eV/atom
Space-group type   R-3m, No. 166
Magnetization   0.0 μB per formula unit
E   -5.86 eV per atom